First-principles (GGA-PBE) data for crystalline Ce2GaBr at its relaxed geometry, as listed in Alexandria.

Geometry as POSCAR:
```
Ce2GaBr
1.0
3.503 0.000 0.000
0.000 3.503 0.000
0.000 0.000 8.124
Ce Ga Br
2 1 1
Direct
0.000 0.000 0.237 Ce
0.000 0.000 0.763 Ce
0.500 0.500 0.000 Ga
0.500 0.500 0.500 Br
```

Properties
As for the uncorrected formation energy: -0.740 eV/atom.